## LiSmLuTl (PBE)

Data for an optimized crystal structure of LiSmLuTl.

Cell: 5.2894 5.2894 5.2894 Å, 60.00 60.00 60.00°
Last column: nearest neighbours and their distance in Å.
Positions (direct):
Tl 0.5000 0.5000 0.5000  4 Lu 3.24, 4 Sm 3.24
Lu 0.2500 0.2500 0.2500  4 Tl 3.24, 4 Li 3.24
Sm 0.7500 0.7500 0.7500  4 Tl 3.24, 4 Li 3.24
Li 0.0000 0.0000 0.0000  4 Sm 3.24, 4 Lu 3.24

Output
As for the density of states at the Fermi level: 3.29 states/eV/cell. As for the crystal system: cubic. For the spin magnetization, the calculation gives 0.0 μB per cell. The value obtained for the energy of formation from the pure elements is -0.178 eV per atom. Its symmetry is No. 216.

***

## MoPb2Br (PBE)

Data for an optimized crystal structure of MoPb2Br.

Cell: 10.4276 10.4276 10.4276 Å, 18.73 18.73 18.73°
Last column: nearest neighbours and their distance in Å.
Positions (direct):
Pb 0.0148 0.0148 0.0148  3 Mo 2.99
Pb 0.2541 0.2541 0.2541  9 Pb 3.39-3.49
Mo 0.7551 0.7551 0.7551  3 Br 2.57
Br 0.4760 0.4760 0.4760  3 Mo 2.57

Output
As for the density of states at the Fermi level: 3.10 states/eV/cell. As for the crystal system: trigonal. For the spin magnetization, the calculation gives 0.0 μB per cell. Its uncorrected formation energy is 0.2494 eV/atom. Its symmetry is No. 160.

***

## Na2PaIrO5 (PBE)

Data for an optimized crystal structure of Na2PaIrO5.

Cell: 5.9967 6.0053 6.0053 Å, 90.00 90.00 90.00°
Last column: nearest neighbours and their distance in Å.
Positions (direct):
Na 0.5000 0.6585 0.1585  4 O 2.25-2.26
Na 0.5000 0.1585 0.3415  4 O 2.25-2.26
Na 0.5000 0.8415 0.6585  4 O 2.25-2.26
Na 0.5000 0.3415 0.8415  4 O 2.25-2.26
Pa 0.0000 0.5000 0.5000  8 O 2.52
Pa 0.0000 0.0000 0.0000  8 O 2.52
Ir 0.0000 0.0000 0.5000  4 O 1.95
Ir 0.0000 0.5000 0.0000  4 O 1.95
O 0.5000 0.5000 0.5000  4 Na 2.26
O 0.5000 0.0000 0.0000  4 Na 2.26
O 0.2039 0.1796 0.6796  1 Ir 1.95
O 0.2039 0.8204 0.3204  1 Ir 1.95
O 0.2039 0.3204 0.1796  1 Ir 1.95
O 0.2039 0.6796 0.8204  1 Ir 1.95
O 0.7961 0.1796 0.6796  1 Ir 1.95
O 0.7961 0.6796 0.8204  1 Ir 1.95
O 0.7961 0.8204 0.3204  1 Ir 1.95
O 0.7961 0.3204 0.1796  1 Ir 1.95

Output
As for the density of states at the Fermi level: 12.54 states/eV/cell. As for the crystal system: tetragonal. For the spin magnetization, the calculation gives 1.7 μB per cell. Its uncorrected formation energy is -1.5929 eV/atom. Its symmetry is No. 127.

***

## Ba2CaRh (PBE)

Data for an optimized crystal structure of Ba2CaRh.

Cell: 5.3206 5.2901 4.8980 Å, 90.00 90.00 90.00°
Last column: nearest neighbours and their distance in Å.
Positions (direct):
Ca 0.5000 0.0000 0.5000  8 Ba 3.60-3.62, 4 Rh 3.75
Rh 0.0000 0.5000 0.5000  8 Ba 3.60-3.62, 4 Ca 3.75
Ba 0.0000 0.0000 0.0000  4 Rh 3.60, 4 Ca 3.62, 4 Ba 3.75
Ba 0.5000 0.5000 0.0000  4 Ca 3.60, 4 Rh 3.62, 4 Ba 3.75

Output
As for the density of states at the Fermi level: 4.02 states/eV/cell. As for the crystal system: orthorhombic. For the spin magnetization, the calculation gives 0.0 μB per cell. The value obtained for the energy of formation from the pure elements is 0.188 eV per atom. Its symmetry is No. 47.

***

## Rb4Nb2S10O (PBE)

Data for an optimized crystal structure of Rb4Nb2S10O.

Cell: 7.9654 13.2161 18.6396 Å, 90.00 90.00 90.00°
Last column: nearest neighbours and their distance in Å.
Positions (direct):
Rb 0.2903 0.0645 0.5166  5 S 3.25-3.61
Rb 0.7097 0.5645 0.5166  5 S 3.25-3.61
Rb 0.8311 0.2642 0.3848  1 O 2.81
Rb 0.3509 0.1019 0.8141  1 O 3.03
Rb 0.3115 0.7448 0.6520  1 O 3.26, 6 S 3.41-3.62
Rb 0.3115 0.7552 0.1520  1 O 3.26, 6 S 3.41-3.62
Rb 0.8311 0.2358 0.8848  1 O 2.81
Rb 0.6885 0.2448 0.6520  1 O 3.26, 6 S 3.41-3.62
Rb 0.1689 0.7358 0.8848  1 O 2.81
Rb 0.6491 0.8981 0.3141  1 O 3.03
Rb 0.3509 0.3981 0.3141  1 O 3.03
Rb 0.2903 0.4355 0.0166  5 S 3.25-3.61
Rb 0.7097 0.9355 0.0166  5 S 3.25-3.61
Rb 0.6885 0.2552 0.1520  1 O 3.26, 6 S 3.41-3.62
Rb 0.6491 0.6019 0.8141  1 O 3.03
Rb 0.1689 0.7642 0.3848  1 O 2.81
Nb 0.2446 0.4682 0.7424  1 O 1.80
Nb 0.7154 0.8988 0.5578  6 S 2.28-2.53
Nb 0.7554 0.9682 0.7424  1 O 1.80
Nb 0.2846 0.1012 0.0578  6 S 2.28-2.53
Nb 0.7554 0.5318 0.2424  1 O 1.80
Nb 0.2446 0.0318 0.2424  1 O 1.80
Nb 0.2846 0.3988 0.5578  6 S 2.28-2.53
Nb 0.7154 0.6012 0.0578  6 S 2.28-2.53
S 0.4628 0.3576 0.8001  1 S 2.08
S 0.0777 0.2640 0.5774  1 S 2.08
S 0.7495 0.4334 0.0005  1 S 2.08
S 0.0942 0.4560 0.4575  1 S 2.08
S 0.0942 0.0440 0.9575  1 S 2.08
S 0.7491 0.7216 0.1602  1 S 2.08
S 0.5344 0.9928 0.6469  2 Nb 2.52-2.53
S 0.2278 0.3511 0.8486  1 S 2.08
S 0.4656 0.4928 0.6469  2 Nb 2.52-2.53
S 0.2509 0.2216 0.1602  1 S 2.08
S 0.9366 0.0548 0.2303  1 S 2.09
S 0.4951 0.3265 0.4930  1 Nb 2.28
S 0.5372 0.8576 0.8001  1 S 2.08
S 0.0634 0.5548 0.2303  1 S 2.09
S 0.7491 0.7784 0.6602  1 S 2.08
S 0.2505 0.5666 0.5005  1 S 2.08
S 0.7722 0.6489 0.3486  1 S 2.08
S 0.0634 0.9452 0.7303  1 S 2.09
S 0.4951 0.1735 0.9930  1 Nb 2.28
S 0.9223 0.7640 0.5774  1 S 2.08
S 0.7722 0.8511 0.8486  1 S 2.08
S 0.9494 0.0147 0.6423  1 S 2.09
S 0.5049 0.8265 0.4930  1 Nb 2.28
S 0.4628 0.1424 0.3001  1 S 2.08
S 0.2505 0.9334 0.0005  1 S 2.08
S 0.0777 0.2360 0.0774  1 S 2.08
S 0.0506 0.9853 0.1423  1 S 2.09
S 0.2509 0.2784 0.6602  1 S 2.08
S 0.5344 0.5072 0.1469  2 Nb 2.52-2.53
S 0.9223 0.7360 0.0774  1 S 2.08
S 0.9058 0.5440 0.9575  1 S 2.08
S 0.5372 0.6424 0.3001  1 S 2.08
S 0.5049 0.6735 0.9930  1 Nb 2.28
S 0.7495 0.0666 0.5005  1 S 2.08
S 0.4656 0.0072 0.1469  2 Nb 2.52-2.53
S 0.0506 0.5147 0.6423  1 S 2.09
S 0.9366 0.4452 0.7303  1 S 2.09
S 0.9494 0.4853 0.1423  1 S 2.09
S 0.9058 0.9560 0.4575  1 S 2.08
S 0.2278 0.1489 0.3486  1 S 2.08
O 0.7246 0.0878 0.7864  1 Nb 1.80
O 0.2754 0.5878 0.7864  1 Nb 1.80
O 0.2754 0.9122 0.2864  1 Nb 1.80
O 0.7246 0.4122 0.2864  1 Nb 1.80

Output
As for the crystal system: orthorhombic. For the spin magnetization, the calculation gives 0.0 μB per cell. Its uncorrected formation energy is -1.0502 eV/atom. Its symmetry is No. 29.

***

## NaPtI6 (PBE)

Data for an optimized crystal structure of NaPtI6.

Cell: 9.0006 11.3682 7.7812 Å, 43.07 58.48 44.30°
Last column: nearest neighbours and their distance in Å.
Positions (direct):
Na 0.0000 0.0000 0.0000  6 I 3.21-3.24
Pt 0.5000 0.5000 0.0000  6 I 2.68-2.76
I 0.8008 0.4963 0.6242  1 Pt 2.76, 1 I 3.09
I 0.8008 0.1204 0.3758  1 Pt 2.76, 1 I 3.09
I 0.1992 0.8796 0.6242  1 Pt 2.76, 1 I 3.09
I 0.1992 0.5037 0.3758  1 Pt 2.76, 1 I 3.09
I 0.5095 0.7304 0.0000  1 Pt 2.68
I 0.4905 0.2696 0.0000  1 Pt 2.68

Output
As for the density of states at the Fermi level: 5.10 states/eV/cell. As for the crystal system: monoclinic. For the spin magnetization, the calculation gives 0.0 μB per cell. Its uncorrected formation energy is -0.3215 eV/atom. Its symmetry is No. 12.

***

## PmCoAs (PBE)

Data for an optimized crystal structure of PmCoAs.

Cell: 3.9572 3.9572 4.9678 Å, 113.47 113.47 90.00°
Last column: nearest neighbours and their distance in Å.
Positions (direct):
As 0.6389 0.6389 0.2778  1 Co 2.31
Co 0.9202 0.9202 0.8403  1 As 2.31
Pm 0.2910 0.2910 0.5819  5 As 2.86-3.06, 5 Co 2.99-3.04

Output
As for the density of states at the Fermi level: 4.04 states/eV/cell. As for the crystal system: tetragonal. For the spin magnetization, the calculation gives 1.0 μB per cell. The value obtained for the energy of formation from the pure elements is -0.196 eV per atom. Its symmetry is No. 107.

***

## SrZn2AgB (PBE)

Data for an optimized crystal structure of SrZn2AgB.

Cell: 4.4633 4.6466 4.4633 Å, 90.00 90.00 90.00°
Last column: nearest neighbours and their distance in Å.
Positions (direct):
Sr 0.5000 0.5000 0.5000  4 Ag 3.16, 8 Zn 3.22
Zn 0.0000 0.0000 0.5000  2 B 2.23
Zn 0.5000 0.0000 0.0000  2 B 2.23
B 0.0000 0.0000 0.0000  4 Zn 2.23, 2 Ag 2.32
Ag 0.0000 0.5000 0.0000  2 B 2.32

Output
As for the density of states at the Fermi level: 2.81 states/eV/cell. As for the crystal system: tetragonal. For the spin magnetization, the calculation gives 0.0 μB per cell. The value obtained for the energy of formation from the pure elements is 0.200 eV per atom. Its symmetry is No. 123.